A geometry-optimized Mn2Ga2Hg structure. Source: Alexandria via LeMat-Bulk, functional PBE-GGA.

```
Mn2Ga2Hg
1.0
-7.186 1.717 0.188
-1.127 -5.271 5.057
0.513 1.917 2.113
Mn Ga Hg
4 4 2
Cartesian
-6.998 -1.785 3.321
-3.689 -3.971 4.501
-4.624 0.418 0.745
-1.315 -1.769 1.925
-5.502 -2.255 5.373
-6.067 0.650 2.874
-2.297 0.619 1.985
-1.732 -2.286 4.484
-4.156 -1.777 2.623
0.000 0.000 0.000
```

Values from the calculation:
- Theoretical density: 9.4 g cm⁻³
- Space group: P4/mbm, No. 127
- Energy above the lowest structure with this stoichiometry: 10 meV per atom